Compound: Zr3HIr
Source: Alexandria
Functional: PBE
Structure: optimized geometry

Results
As for the excess energy over the best structure of this formula in the dataset: 0.082 eV/atom. Its crystal system is cubic.

abc: 4.356 4.356 4.356
angles: 90.00 90.00 90.00
Element x y z (fractional)
Zr1 0.000 0.000 0.500
Zr2 0.000 0.500 0.000
Zr3 0.500 0.000 0.000
H1 0.000 0.000 0.000
Ir1 0.500 0.500 0.500

---

Compound: Zr4HIr
Source: Alexandria
Functional: PBE
Structure: optimized geometry

Results
For the total DFT energy (no corrections), the calculation gives -0.5894 Ry per atom. Its crystal system is monoclinic.

abc: 5.757 6.143 6.450
angles: 90.00 101.08 90.00
Element x y z (fractional)
Zr1 0.134 0.155 0.178
Zr2 0.134 0.345 0.678
Zr3 0.317 0.636 0.109
Zr4 0.317 0.864 0.609
Zr5 0.683 0.136 0.391
Zr6 0.683 0.364 0.891
Zr7 0.866 0.655 0.322
Zr8 0.866 0.845 0.822
H1 0.000 0.000 0.500
H2 0.000 0.500 0.000
Ir1 0.500 0.000 0.000
Ir2 0.500 0.500 0.500

---

Compound: ZrHIr3
Source: Alexandria
Functional: PBE
Structure: optimized geometry

Results
As for the excess energy over the best structure of this formula in the dataset: 0.683 eV/atom. Its crystal system is hexagonal.

abc: 4.502 4.502 8.065
angles: 90.00 90.00 120.00
Element x y z (fractional)
Zr1 0.333 0.667 0.250
Zr2 0.667 0.333 0.750
H1 0.000 0.000 0.000
H2 0.000 0.000 0.500
Ir1 0.000 0.000 0.250
Ir2 0.000 0.000 0.750
Ir3 0.333 0.667 0.582
Ir4 0.333 0.667 0.918
Ir5 0.667 0.333 0.082
Ir6 0.667 0.333 0.418

---

Compound: ZrH3Ir
Source: Alexandria
Functional: PBE
Structure: optimized geometry

Results
For the total DFT energy (no corrections), the calculation gives -0.4299 Ry per atom. Its crystal system is monoclinic.

abc: 4.524 5.593 8.952
angles: 90.00 120.29 90.00
Element x y z (fractional)
Zr1 0.168 0.237 0.418
Zr2 0.168 0.263 0.918
Zr3 0.832 0.737 0.082
Zr4 0.832 0.763 0.582
H1 0.093 0.079 0.126
H2 0.093 0.421 0.626
H3 0.274 0.629 0.025
H4 0.274 0.871 0.525
H5 0.337 0.580 0.373
H6 0.337 0.920 0.873
H7 0.663 0.080 0.127
H8 0.663 0.420 0.627
H9 0.726 0.129 0.475
H10 0.726 0.371 0.975
H11 0.907 0.579 0.374
H12 0.907 0.921 0.874
Ir1 0.480 0.542 0.230
Ir2 0.480 0.958 0.730
Ir3 0.520 0.042 0.270
Ir4 0.520 0.458 0.770